Entry from Alexandria: a relaxed structure of PmFe2IrO6 (PBE with a Hubbard U). Values from VASP.

Quantum ESPRESSO input file:
```
&SYSTEM
  ibrav = 0, nat = 10, ntyp = 4
/
ATOMIC_SPECIES
Pm 145.00 Pm.upf
Fe 55.84 Fe.upf
Ir 192.22 Ir.upf
O 16.00 O.upf
CELL_PARAMETERS angstrom
2.730 1.576 4.729
-2.730 1.576 4.729
0.000 -3.153 4.729
ATOMIC_POSITIONS crystal
Pm 0.000 0.000 0.000
Fe 0.272 0.272 0.272
Fe 0.785 0.785 0.785
Ir 0.479 0.479 0.479
O 0.091 0.641 0.426
O 0.209 0.545 0.887
O 0.426 0.091 0.641
O 0.545 0.887 0.209
O 0.641 0.426 0.091
O 0.887 0.209 0.545
```

Spin magnetization ... 0.796 μB/atom
SG ... R3
Calculated volume ... 12.2 A^3/atom
Energy ... -7.075 eV/atom